Record 1
Entry from Alexandria: a geometry-optimized Lu20Os5I24 structure (GGA-PBE).

Raw formation energy = -1.08 eV per atom
Crystal system = triclinic

Cell: 12.411 13.138 14.701 Å, 101.08 108.48 109.85°
Element x y z (fractional)
Lu 0.500 0.028 0.701
Lu 0.500 0.972 0.299
Lu 0.730 0.004 0.640
Lu 0.270 0.996 0.360
Lu 0.813 0.173 0.892
Lu 0.187 0.827 0.108
Lu 0.489 0.216 0.579
Lu 0.511 0.784 0.421
Lu 0.719 0.193 0.518
Lu 0.281 0.807 0.482
Lu 0.799 0.441 0.720
Lu 0.201 0.559 0.280
Lu 0.968 0.290 0.762
Lu 0.032 0.710 0.238
Lu 0.644 0.324 0.850
Lu 0.356 0.676 0.150
Lu 0.111 0.584 0.908
Lu 0.889 0.416 0.092
Lu 0.880 0.608 0.970
Lu 0.120 0.392 0.030
Os 0.500 0.000 0.500
Os 0.708 0.209 0.708
Os 0.292 0.791 0.292
Os 0.904 0.405 0.904
Os 0.096 0.595 0.096
I 0.274 0.830 0.690
I 0.726 0.170 0.310
I 0.749 0.782 0.563
I 0.251 0.218 0.437
I 0.660 0.906 0.803
I 0.340 0.094 0.197
I 0.353 0.178 0.725
I 0.647 0.822 0.275
I 0.939 0.118 0.567
I 0.061 0.882 0.433
I 0.633 0.388 0.491
I 0.367 0.612 0.509
I 0.041 0.131 0.877
I 0.959 0.869 0.123
I 0.622 0.174 0.988
I 0.378 0.826 0.012
I 0.008 0.252 0.152
I 0.992 0.748 0.848
I 0.294 0.469 0.919
I 0.706 0.531 0.081
I 0.023 0.476 0.657
I 0.977 0.524 0.343
I 0.608 0.520 0.771
I 0.392 0.480 0.229

=====

Record 2
Entry from Alexandria: a geometry-optimized LuPaI2 structure (GGA-PBE).

Raw formation energy = -0.21 eV per atom
Crystal system = trigonal

Cell: 3.612 3.612 10.971 Å, 80.53 80.53 60.00°
Site moments in Bohr magnetons follow the coordinates.
Element x y z (fractional)
I 0.098 0.098 0.706  0.00
I 0.902 0.902 0.294  0.00
Pa 0.000 0.000 0.000  -0.58
Lu 0.500 0.500 0.500  -0.02

=====

Record 3
Entry from Alexandria: a geometry-optimized Pm2LuI structure (GGA-PBE).

Raw formation energy = -0.33 eV per atom
Crystal system = tetragonal

Cell: 3.672 3.672 9.561 Å, 90.00 90.00 90.00°
Element x y z (fractional)
I 0.500 0.500 0.500
Lu 0.500 0.500 0.000
Pm 0.000 0.000 0.744
Pm 0.000 0.000 0.256

=====

Record 4
Entry from Alexandria: a geometry-optimized Pm2LuI structure (GGA-PBE).

Raw formation energy = -0.08 eV per atom
Crystal system = trigonal

Cell: 3.619 3.619 11.971 Å, 81.31 81.31 60.00°
Element x y z (fractional)
I 0.500 0.500 0.500
Lu 0.000 0.000 0.000
Pm 0.094 0.094 0.717
Pm 0.906 0.906 0.283

=====

Record 5
Entry from Alexandria: a geometry-optimized Pr2LuI structure (GGA-PBE).

Raw formation energy = -0.35 eV per atom
Crystal system = tetragonal

Cell: 3.716 3.716 9.664 Å, 90.00 90.00 90.00°
Element x y z (fractional)
Pr 0.000 0.000 0.744
Pr 0.000 0.000 0.256
I 0.500 0.500 0.500
Lu 0.500 0.500 0.000

=====

Record 6
Entry from Alexandria: a geometry-optimized Pr2LuI structure (GGA-PBE).

Raw formation energy = -0.12 eV per atom
Crystal system = trigonal

Cell: 3.653 3.653 12.063 Å, 81.29 81.29 60.00°
Element x y z (fractional)
Pr 0.094 0.094 0.718
Pr 0.906 0.906 0.282
I 0.500 0.500 0.500
Lu 0.000 0.000 0.000

=====

Record 7
Entry from Alexandria: a geometry-optimized PrLuI structure (GGA-PBE).

Raw formation energy = -0.17 eV per atom
Crystal system = trigonal

Cell: 3.832 5.429 5.429 Å, 120.00 90.00 90.00°
Element x y z (fractional)
Pr 0.717 0.667 0.333
I 0.081 0.000 0.000
Lu 0.202 0.333 0.667

=====

Record 8
Entry from Alexandria: a geometry-optimized PrLuI2 structure (GGA-PBE).

Raw formation energy = -0.69 eV per atom
Crystal system = trigonal

Cell: 3.903 3.903 10.987 Å, 79.77 79.77 60.00°
Element x y z (fractional)
Pr 0.500 0.500 0.500
I 0.094 0.094 0.718
I 0.906 0.906 0.282
Lu 0.000 0.000 0.000

=====

Record 9
Entry from Alexandria: a geometry-optimized LuSI structure (GGA-PBE).

Raw formation energy = -1.33 eV per atom
Crystal system = tetragonal

Cell: 3.557 3.557 7.418 Å, 103.87 103.87 90.00°
Element x y z (fractional)
I 0.034 0.034 0.069
S 0.273 0.273 0.547
Lu 0.692 0.692 0.384

=====

Record 10
Entry from Alexandria: a geometry-optimized LuSI structure (GGA-PBE).

Raw formation energy = -1.36 eV per atom
Crystal system = hexagonal

Cell: 4.444 4.444 5.121 Å, 90.00 90.00 120.00°
Element x y z (fractional)
I 0.000 0.000 0.500
S 0.667 0.333 0.000
Lu 0.333 0.667 0.000

=====

Record 11
Entry from Alexandria: a geometry-optimized LuSbI structure (GGA-PBE).

Raw formation energy = -0.47 eV per atom
Crystal system = hexagonal

Cell: 3.637 5.222 5.222 Å, 120.00 90.00 90.00°
Element x y z (fractional)
I 0.167 0.333 0.667
Sb 0.667 0.667 0.333
Lu 0.166 0.000 0.000

=====

Record 12
Entry from Alexandria: a geometry-optimized Lu2ScI structure (GGA-PBE).

Raw formation energy = -0.26 eV per atom
Crystal system = trigonal

Cell: 3.649 3.649 10.187 Å, 79.68 79.68 60.00°
Element x y z (fractional)
I 0.000 0.000 0.000
Sc 0.500 0.500 0.500
Lu 0.749 0.749 0.753
Lu 0.251 0.251 0.247

=====

Record 13
Entry from Alexandria: a geometry-optimized LuSeI structure (GGA-PBE).

Raw formation energy = -1.60 eV per atom
Crystal system = trigonal

Cell: 4.144 4.144 7.243 Å, 90.00 90.00 120.00°
Element x y z (fractional)
I 0.000 0.000 0.087
Lu 0.667 0.333 0.366
Se 0.333 0.667 0.547

=====

Record 14
Entry from Alexandria: a geometry-optimized LuSeI structure (GGA-PBE).

Raw formation energy = -1.26 eV per atom
Crystal system = tetragonal

Cell: 3.640 3.640 7.609 Å, 103.84 103.84 90.00°
Element x y z (fractional)
I 0.036 0.036 0.072
Lu 0.686 0.686 0.373
Se 0.278 0.278 0.555

=====

Record 15
Entry from Alexandria: a geometry-optimized Sm2LuI structure (GGA-PBE).

Raw formation energy = -0.06 eV per atom
Crystal system = trigonal

Cell: 3.609 3.609 11.957 Å, 81.32 81.32 60.00°
Element x y z (fractional)
I 0.500 0.500 0.500
Lu 0.000 0.000 0.000
Sm 0.094 0.094 0.716
Sm 0.906 0.906 0.284

=====

Record 16
Entry from Alexandria: a geometry-optimized Sm2LuI structure (GGA-PBE).

Raw formation energy = -0.32 eV per atom
Crystal system = tetragonal

Cell: 3.659 3.659 9.534 Å, 90.00 90.00 90.00°
Element x y z (fractional)
I 0.500 0.500 0.500
Lu 0.500 0.500 0.000
Sm 0.000 0.000 0.745
Sm 0.000 0.000 0.255

=====

Record 17
Entry from Alexandria: a geometry-optimized TbLu2I structure (GGA-PBE).

Raw formation energy = -0.29 eV per atom
Crystal system = trigonal

Cell: 3.692 3.692 10.524 Å, 79.90 79.90 60.00°
Element x y z (fractional)
I 0.000 0.000 0.000
Lu 0.746 0.746 0.762
Lu 0.254 0.254 0.238
Tb 0.500 0.500 0.500

=====

Record 18
Entry from Alexandria: a geometry-optimized Tb2LuI structure (GGA-PBE).

Raw formation energy = 0.00 eV per atom
Crystal system = trigonal

Cell: 3.575 3.575 11.899 Å, 81.36 81.36 60.00°
Element x y z (fractional)
I 0.500 0.500 0.500
Lu 0.000 0.000 0.000
Tb 0.095 0.095 0.715
Tb 0.905 0.905 0.285

=====

Record 19
Entry from Alexandria: a geometry-optimized Tb2LuI structure (GGA-PBE).

Raw formation energy = -0.29 eV per atom
Crystal system = tetragonal

Cell: 3.618 3.618 9.420 Å, 90.00 90.00 90.00°
Element x y z (fractional)
I 0.500 0.500 0.000
Lu 0.500 0.500 0.500
Tb 0.000 0.000 0.753
Tb 0.000 0.000 0.247

=====

Record 20
Entry from Alexandria: a geometry-optimized LuTeI structure (GGA-PBE).

Raw formation energy = -1.31 eV per atom
Crystal system = trigonal

Cell: 4.291 4.291 7.403 Å, 90.00 90.00 120.00°
Element x y z (fractional)
I 0.333 0.667 0.580
Lu 0.667 0.333 0.317
Te 0.000 0.000 0.103